Entry 1:
{
  "formula": "Hf4Cu2C",
  "functional": "PBE-GGA",
  "state": "relaxed",
  "lattice_angstrom": [[5.406, 0.000, -0.546], [0.000, 5.450, 0.000], [-2.620, 0.000, 8.251]],
  "species": ["Hf", "Hf", "Hf", "Hf", "Hf", "Hf", "Hf", "Hf", "Cu", "Cu", "Cu", "Cu", "C", "C"],
  "fractional_positions": [[0.475, 0.505, 0.253], [0.089, 0.750, 0.892], [0.911, 0.250, 0.108], [0.475, 0.995, 0.253], [0.920, 0.250, 0.594], [0.525, 0.005, 0.747], [0.525, 0.495, 0.747], [0.080, 0.750, 0.406], [0.687, 0.750, 0.050], [0.313, 0.250, 0.950], [0.281, 0.250, 0.450], [0.719, 0.750, 0.550], [0.089, 0.750, 0.152], [0.911, 0.250, 0.848]],
  "spacegroup": "P2_1/m (11)",
  "m_tot_mub_per_fu": 0.00,
  "formation_energy_ev_per_atom": -0.08
}

Entry 2:
{
  "formula": "Sr2PRh",
  "functional": "PBE-GGA",
  "state": "relaxed",
  "lattice_angstrom": [[3.721, 0.000, 0.000], [0.000, 3.989, 0.000], [0.000, 0.000, 6.464]],
  "species": ["Sr", "Sr", "P", "Rh"],
  "fractional_positions": [[0.000, 0.000, 0.757], [0.000, 0.000, 0.243], [0.500, 0.500, 0.000], [0.500, 0.500, 0.500]],
  "spacegroup": "Pmmm (47)",
  "m_tot_mub_per_fu": 0.00,
  "formation_energy_ev_per_atom": -0.38
}

Entry 3:
{
  "formula": "YTl2I",
  "functional": "PBE-GGA",
  "state": "relaxed",
  "lattice_angstrom": [[0.000, 4.021, 4.021], [4.021, 0.000, 4.021], [4.021, 4.021, 0.000]],
  "species": ["I", "Y", "Tl", "Tl"],
  "fractional_positions": [[0.500, 0.500, 0.500], [0.000, 0.000, 0.000], [0.250, 0.250, 0.250], [0.750, 0.750, 0.750]],
  "e_form_raw_ev_per_atom": 0.06,
  "spacegroup": "Fm-3m (225)",
  "m_tot_mub_per_fu": 0.00
}

Entry 4:
{
  "formula": "PrHoTm6",
  "functional": "PBE-GGA",
  "state": "relaxed",
  "lattice_angstrom": [[-0.891, 3.170, -5.838], [-5.197, -3.003, 2.984], [5.099, 5.322, 6.213]],
  "species": ["Pr", "Ho", "Tm", "Tm", "Tm", "Tm", "Tm", "Tm"],
  "fractional_positions": [[0.500, 0.500, 0.500], [0.000, 0.000, 0.000], [0.304, 0.304, 0.753], [0.668, 0.159, 0.240], [0.696, 0.696, 0.247], [0.841, 0.332, 0.760], [0.332, 0.841, 0.760], [0.159, 0.668, 0.240]],
  "spacegroup": "C2/m (12)",
  "m_tot_mub_per_fu": 0.00,
  "formation_energy_ev_per_atom": 0.23
}

> Which formula does entry 2 have?

Sr2PRh